# 1
Density functional theory data (PBE-GGA) for crystalline NdReAs at its relaxed geometry.

Calculated values
VASP energy = -6.092 eV/atom
Spin magnetization = 1.6 μB/f.u.
Crystal system = cubic
Offset from the most stable computed form = 19.925 kcal/mol of atoms

Unit cell a=6.766 b=6.766 c=6.766 alpha=90.00 beta=90.00 gamma=90.00
Space group F-43m (No. 216)
Unique sites:
Nd (0.000, 0.000, 0.000) [4 per cell]
Re (0.250, 0.250, 0.250) [4 per cell]
As (0.250, 0.250, 0.750) [4 per cell]

# 2
Density functional theory data (PBE-GGA) for crystalline NdReAs at its relaxed geometry.

Calculated values
VASP energy = -6.956 eV/atom
Spin magnetization = 1.4 μB/f.u.
Crystal system = cubic
Offset from the most stable computed form = 0.000 kcal/mol of atoms

Unit cell a=6.489 b=6.489 c=6.489 alpha=90.00 beta=90.00 gamma=90.00
Space group F-43m (No. 216)
Unique sites:
Nd (0.000, 0.000, 0.000) [4 per cell]
Re (0.000, 0.000, 0.500) [4 per cell]
As (0.250, 0.250, 0.250) [4 per cell]